DFT (SCAN) results for a crystal of SnSIN2 relaxed with PBEsol.

The calculation puts the total moment at 2.74 μB per cell. As for the formation energy (no corrections): 621 kJ/mol of formula units. Its space group is P4/mmm, No. 123.

a = 4.1351 Å, b = 4.1351 Å, c = 5.4322 Å
α = 90.00°, β = 90.00°, γ = 90.00°
Site moments in Bohr magnetons follow the coordinates.
Atoms (fractional coordinates):
I 0.5000 0.5000 0.5000  0.15
S 0.0000 0.0000 0.5000  0.02
Sn 0.0000 0.0000 0.0000  -0.11
N 0.0000 0.5000 0.0000  0.91
N 0.5000 0.0000 0.0000  0.91